Entry from OQMD via LeMat-Bulk: a relaxed structure of BaCo3 (PBE).

The structure in extended XYZ format:
```
4
Lattice="0.000 3.251 3.251 3.251 0.000 3.251 3.251 3.251 0.000" Properties=species:S:1:pos:R:3 pbc="T T T"
Ba 0.000 0.000 0.000
Co 1.625 1.625 1.625
Co 3.251 3.251 3.251
Co 4.876 4.876 4.876
```

Output
- SG = No. 225
- total DFT energy (no corrections) (eV per atom) = -4.527

***

Entry from OQMD via LeMat-Bulk: a relaxed structure of BaCo (PBE).

The structure in extended XYZ format:
```
4
Lattice="4.946 0.000 0.000 -2.473 4.283 0.000 0.000 0.000 7.839" Properties=species:S:1:pos:R:3 pbc="T T T"
Ba 0.000 2.855 0.000
Ba 2.473 1.428 3.919
Co 0.000 2.855 2.961
Co 2.473 1.428 6.881
```

Output
- SG = No. 186
- total DFT energy (no corrections) (eV per atom) = -3.251

***

Entry from OQMD via LeMat-Bulk: a relaxed structure of BaCo (PBE).

The structure in extended XYZ format:
```
2
Lattice="0.000 3.240 3.240 3.240 0.000 3.240 3.240 3.240 0.000" Properties=species:S:1:pos:R:3 pbc="T T T"
Ba 0.000 0.000 0.000
Co 3.240 3.240 3.240
```

Output
- SG = No. 225
- total DFT energy (no corrections) (eV per atom) = -3.591

***

Entry from OQMD via LeMat-Bulk: a relaxed structure of Ba2Co (PBE).

The structure in extended XYZ format:
```
6
Lattice="0.000 6.162 6.162 6.162 0.000 6.162 6.162 6.162 0.000" Properties=species:S:1:pos:R:3 pbc="T T T"
Ba 0.000 0.000 0.000
Ba 3.081 3.081 0.000
Ba 3.081 0.000 3.081
Ba 0.000 3.081 3.081
Co 1.540 1.540 1.540
Co 10.783 10.783 10.783
```

Output
- SG = No. 227
- total DFT energy (no corrections) (eV per atom) = -2.803

***

Entry from OQMD via LeMat-Bulk: a relaxed structure of BaCo3 (PBE).

The structure in extended XYZ format:
```
4
Lattice="-2.176 2.176 3.644 2.176 -2.176 3.644 2.176 2.176 -3.644" Properties=species:S:1:pos:R:3 pbc="T T T"
Ba 0.000 0.000 0.000
Co 2.176 0.000 1.822
Co 0.000 0.000 3.644
Co 0.000 2.176 1.822
```

Output
- SG = No. 139
- total DFT energy (no corrections) (eV per atom) = -4.734

***

Entry from OQMD via LeMat-Bulk: a relaxed structure of CsBaCo (PBE).

The structure in extended XYZ format:
```
3
Lattice="0.000 3.827 3.827 3.827 0.000 3.827 3.827 3.827 0.000" Properties=species:S:1:pos:R:3 pbc="T T T"
Cs 0.000 0.000 0.000
Ba 5.741 5.741 5.741
Co 1.914 1.914 1.914
```

Output
- SG = No. 216
- total DFT energy (no corrections) (eV per atom) = -2.029

***

Summary of calculated volume in Å³/atom
17.2; 41.5; 34.0; 78.0; 17.3; 37.4
(order as listed above)
Summary of M_tot in μB per atom
0.18; 0.50; 0.58; 0.06; 1.06; 0.56
(order as listed above)